Entry 1
DFT (PBE) results for crystalline Ba4Sr5 at its relaxed geometry.

Cell: 6.305 9.689 9.689 Å, 83.92 71.01 71.01°
Fractional coordinates of all 9 atoms:
Sr 0.500 0.000 0.000
Sr 0.165 0.671 0.000
Sr 0.835 0.000 0.329
Ba 0.500 0.672 0.328
Ba 0.172 0.328 0.328
Ba 0.500 0.328 0.672
Sr 0.165 0.000 0.671
Sr 0.835 0.329 0.000
Ba 0.828 0.672 0.672

Calculated values
Symmetry: No. 139
DOS at the Fermi energy: 1.245 states/eV/atom

Entry 2
DFT (PBE) results for crystalline Ba4Sr5 at its relaxed geometry.

Cell: 12.106 12.106 8.253 Å, 90.00 90.00 120.00°
Fractional coordinates of all 18 atoms:
Ba 0.000 0.000 0.500
Sr 0.000 0.659 0.250
Ba 0.328 0.328 0.750
Ba 0.000 0.328 0.250
Ba 0.000 0.000 0.000
Sr 0.659 0.659 0.750
Sr 0.667 0.333 0.500
Sr 0.333 0.667 0.000
Sr 0.341 0.000 0.750
Sr 0.659 0.000 0.250
Ba 0.672 0.672 0.250
Ba 0.672 0.000 0.750
Sr 0.000 0.341 0.750
Sr 0.667 0.333 0.000
Ba 0.328 0.000 0.250
Ba 0.000 0.672 0.750
Sr 0.341 0.341 0.250
Sr 0.333 0.667 0.500

Calculated values
Symmetry: No. 193
DOS at the Fermi energy: 1.655 states/eV/atom

In terms of stability, entry 1 leads; the second structure lies 40 meV per atom higher.

Entry 1
DFT (PBE) results for crystalline Ba7Sr5 at its relaxed geometry.

Cell: 6.944 8.123 13.879 Å, 90.04 90.00 115.30°
Fractional coordinates of all 12 atoms:
Sr 0.331 0.662 0.498
Ba 0.000 0.000 0.500
Ba 0.667 0.333 0.000
Ba 0.832 0.664 0.251
Ba 0.333 0.667 0.000
Sr 0.833 0.666 0.750
Sr 0.669 0.338 0.502
Ba 0.168 0.336 0.749
Ba 0.500 0.999 0.749
Ba 0.500 0.001 0.251
Sr 0.167 0.334 0.250
Sr 0.000 0.000 0.000

Calculated values
Symmetry: No. 12
DOS at the Fermi energy: 1.313 states/eV/atom

Entry 2
DFT (PBE) results for crystalline Ba7Sr5 at its relaxed geometry.

Cell: 6.961 6.958 18.270 Å, 100.99 90.00 120.01°
Fractional coordinates of all 12 atoms:
Sr 0.609 0.218 0.827
Sr 0.148 0.297 0.446
Sr 0.852 0.703 0.554
Sr 0.000 0.000 0.000
Ba 0.692 0.384 0.077
Ba 0.074 0.148 0.223
Ba 0.308 0.616 0.923
Ba 0.775 0.550 0.325
Sr 0.391 0.782 0.173
Ba 0.500 0.000 0.500
Ba 0.225 0.450 0.675
Ba 0.926 0.852 0.777

Calculated values
Symmetry: No. 166
DOS at the Fermi energy: 1.813 states/eV/atom

In terms of stability, entry 1 leads; the second structure lies 95 meV per atom higher.

Entry 1
DFT (PBE) results for crystalline Ba5Sr at its relaxed geometry.

Cell: 7.047 7.051 8.241 Å, 90.00 115.31 90.00°
Fractional coordinates of all 6 atoms:
Ba 0.636 0.000 0.273
Ba 0.308 0.000 0.616
Sr 0.972 0.000 0.945
Ba 0.472 0.500 0.944
Ba 0.807 0.500 0.614
Ba 0.138 0.500 0.275

Calculated values
Symmetry: No. 65
DOS at the Fermi energy: 1.484 states/eV/atom

Entry 2
DFT (PBE) results for crystalline Ba5Sr at its relaxed geometry.

Cell: 8.536 8.536 10.581 Å, 74.75 74.75 30.13°
Fractional coordinates of all 6 atoms:
Ba 0.613 0.613 0.275
Ba 0.999 0.999 0.000
Sr 0.278 0.278 0.945
Ba 0.668 0.668 0.669
Ba 0.333 0.333 0.332
Ba 0.943 0.943 0.614

Calculated values
Symmetry: No. 8
DOS at the Fermi energy: 1.608 states/eV/atom

In terms of stability, entry 1 leads; the second structure lies 12 meV per atom higher.